AlIrBr2 PBE-GGA relaxed; spin magnetization = 0.0000 μB per atom; E_form (uncorrected) = 0.5931 eV per atom; volume = 24.6 A^3/atom; symmetry = R-3m (166)
1.0
8.482 -0.038 -0.023
7.681 3.598 -0.023
7.681 1.692 3.175
Ir Br Al
1 2 1
direct
0.250 0.250 0.250 Ir
0.974 0.974 0.974 Br
0.526 0.526 0.526 Br
0.750 0.750 0.750 Al

***

AlIr2Br PBE-GGA relaxed; spin magnetization = 0.2969 μB per atom; E_form (uncorrected) = 0.2843 eV per atom; volume = 18.7 A^3/atom; symmetry = R3m (160)
1.0
9.747 0.006 0.004
9.284 2.968 0.004
9.284 1.451 2.589
Br Ir Al
1 2 1
direct
0.777 0.777 0.777 Br
0.238 0.238 0.238 Ir
0.978 0.978 0.978 Ir
0.507 0.507 0.507 Al

***

AlIrBr2 PBE-GGA relaxed; spin magnetization = 0.2768 μB per atom; E_form (uncorrected) = 0.8461 eV per atom; volume = 19.6 A^3/atom; symmetry = Fm-3m (225)
1.0
-3.991 0.526 2.616
-3.968 1.804 -2.012
-3.788 -2.839 -0.803
Br Ir Al
2 1 1
direct
0.750 0.750 0.750 Br
0.250 0.250 0.250 Br
0.500 0.500 0.500 Ir
0.000 0.000 0.000 Al

***

AlIrBr3 PBE-GGA relaxed; spin magnetization = 0.5867 μB per atom; E_form (uncorrected) = 0.6997 eV per atom; volume = 26.4 A^3/atom; symmetry = Pm-3m (221)
1.0
-1.065 2.854 -4.082
-4.967 -0.918 0.655
-0.369 4.117 2.975
Br Ir Al
3 1 1
direct
0.000 0.500 0.000 Br
0.000 0.000 0.500 Br
0.500 0.000 0.000 Br
0.500 0.500 0.500 Ir
0.000 0.000 0.000 Al

***

Number 1: offset from the most stable computed form 85.49 kJ/mol of atoms. Number 2: offset from the most stable computed form 22.77 kJ/mol of atoms. Number 3: offset from the most stable computed form 109.89 kJ/mol of atoms. Number 4: offset from the most stable computed form 46.37 kJ/mol of atoms.